(1)
Material: MgZrIn
Method: DFT, PBE-GGA
State: optimized geometry

Values from the calculation:
Energy: -4.32 eV/atom
Theoretical density: 5.53 g/cm3
ΔE_f: -29 meV per atom

Structure (POSCAR):
```
MgZrIn
1.0
3.1906 0.0000 0.0000
-1.5953 2.7632 0.0000
0.0000 0.0000 7.8415
Mg In Zr
1 1 1
Direct
0.6667 0.3333 0.3307
0.0000 0.0000 0.0013
0.3333 0.6667 0.6679
```

***

(2)
Material: MnIn3
Method: DFT, PBE-GGA
State: optimized geometry

Values from the calculation:
Energy: -4.18 eV/atom
Theoretical density: 7.46 g/cm3
ΔE_f: 163 meV per atom

Structure (POSCAR):
```
MnIn3
1.0
-2.1148 -4.4661 2.8127
6.5345 -2.6296 0.7377
0.9000 4.3750 7.6234
In Mn
12 4
Direct
0.6347 0.1763 0.5376
0.8653 0.6763 0.9624
0.8953 0.0101 0.2500
0.3653 0.8237 0.0376
0.3653 0.8237 0.4624
0.1347 0.3237 0.4624
0.3953 0.4899 0.7500
0.6047 0.5101 0.2500
0.1347 0.3237 0.0376
0.8653 0.6763 0.5376
0.1047 0.9899 0.7500
0.6347 0.1763 0.9624
0.4034 0.1419 0.2500
0.9034 0.3581 0.7500
0.5966 0.8581 0.7500
0.0966 0.6419 0.2500
```

***

(3)
Material: Mn3In
Method: DFT, PBE-GGA
State: optimized geometry

Values from the calculation:
Energy: -7.18 eV/atom
Theoretical density: 7.47 g/cm3
ΔE_f: 383 meV per atom

Structure (POSCAR):
```
Mn3In
1.0
2.9163 0.0000 0.0000
-1.4581 2.5256 0.0000
0.0000 0.0000 8.4400
Mn In
3 1
Direct
0.6667 0.3333 0.2777
0.0000 0.0000 0.5000
0.6667 0.3333 0.7223
0.0000 0.0000 0.0000
```

***

(4)
Material: MnIn3
Method: DFT, PBE-GGA
State: optimized geometry

Values from the calculation:
Energy: -3.84 eV/atom
Theoretical density: 8.41 g/cm3
ΔE_f: 503 meV per atom

Structure (POSCAR):
```
MnIn3
1.0
-0.2326 -2.0661 -3.6729
0.4941 -3.6665 2.0312
-4.5223 2.5325 1.2866
In Mn
3 1
Direct
0.7500 0.2500 0.5000
0.2500 0.7500 0.5000
0.5000 0.5000 0.0000
0.0000 0.0000 0.0000
```